# 1
A plane-wave DFT calculation with GGA-PBE was carried out for CaGdSbAu after structural relaxation.

Cell lengths 5.2866, 5.2866, 5.2866 Å; angles 60.00, 60.00, 60.00 degrees
Closest atoms and distances in Å follow each position.
Element x y z (fractional)
Au1 0.0000 0.0000 0.0000  4 Gd 3.24, 4 Ca 3.24
Gd1 0.7500 0.7500 0.7500  4 Sb 3.24, 4 Au 3.24
Ca1 0.2500 0.2500 0.2500  4 Sb 3.24, 4 Au 3.24
Sb1 0.5000 0.5000 0.5000  4 Gd 3.24, 4 Ca 3.24

- Fermi-level density of states (states/eV/cell) = 5.0
- uncorrected formation energy (eV/atom) = -0.8365
- space group = F-43m, No. 216
- theoretical density (g/cm³) = 8.2
- total energy (eV for the cell shown) = -26.828

***

# 2
A plane-wave DFT calculation with GGA-PBE was carried out for Li2Zr4As3P3O24 after structural relaxation.

Cell lengths 9.1065, 9.1934, 12.8685 Å; angles 90.00, 91.49, 90.00 degrees
Closest atoms and distances in Å follow each position.
Element x y z (fractional)
O1 0.7978 0.7703 0.2290  1 As 1.69
O2 0.1200 0.6048 0.5588  1 P 1.54
P1 0.5328 0.5001 0.9867  4 O 1.54-1.57
O3 0.8345 0.2693 0.7739  1 P 1.57
As1 0.9003 0.8702 0.1472  4 O 1.69-1.72
O4 0.3345 0.7307 0.2739  1 P 1.57
O5 0.8201 0.2008 0.9607  1 P 1.54
O6 0.3142 0.9990 0.3248  1 P 1.57
O7 0.3477 0.1746 0.5223  1 As 1.72
O8 0.8393 0.0869 0.5893  1 As 1.72
As2 0.4003 0.1298 0.6472  4 O 1.69-1.72
O9 0.2978 0.2297 0.7290  1 As 1.69
O10 0.1469 0.4178 0.4190  1 P 1.57
O11 0.9497 0.3909 0.5566  1 P 1.56
O12 0.3201 0.7992 0.4607  1 P 1.54
O13 0.5509 0.8568 0.3633  1 P 1.54
O14 0.3784 0.1101 0.9322  1 As 1.69
O15 0.4497 0.6091 0.0566  1 P 1.56
O16 0.3393 0.9131 0.0893  1 As 1.72
P2 0.0328 0.4999 0.4867  4 O 1.54-1.57
As3 0.9685 0.0047 0.5140  4 O 1.69-1.72
O17 0.5476 0.8715 0.9345  1 As 1.70
O18 0.9136 0.6550 0.8361  1 As 1.72
P3 0.1199 0.3482 0.1438  4 O 1.53-1.57
O19 0.4512 0.6409 0.6393  1 P 1.54
O20 0.6214 0.5496 0.3284  1 As 1.69
O21 0.6200 0.3952 0.0588  1 P 1.54
O22 0.1867 0.4978 0.1796  1 P 1.57
O23 0.1516 0.6731 0.9764  1 As 1.71
As4 0.0999 0.6305 0.8513  4 O 1.69-1.72
Li1 0.7833 0.4707 0.8239  4 O 2.02-2.07
O24 0.8784 0.8899 0.4322  1 As 1.69
O25 0.9228 0.5800 0.4146  1 P 1.54
O26 0.4136 0.3450 0.3361  1 As 1.72
O27 0.6469 0.5822 0.9190  1 P 1.57
O28 0.1214 0.4504 0.8284  1 As 1.69
O29 0.0922 0.9239 0.5955  1 As 1.69
O30 0.6694 0.7706 0.7242  1 P 1.56
P4 0.3824 0.8480 0.3565  4 O 1.54-1.57
Li2 0.2019 0.0188 0.1847  4 O 2.02-2.06
O31 0.6792 0.6928 0.5374  1 P 1.53
O32 0.0830 0.8303 0.1665  1 As 1.72
O33 0.1792 0.3072 0.0374  1 P 1.53
O34 0.5922 0.0761 0.0955  1 As 1.69
Zr1 0.2444 0.2746 0.8823  6 O 2.04-2.15
As5 0.5999 0.3695 0.3513  4 O 1.69-1.72
O35 0.8142 0.0010 0.8248  1 P 1.57
Zr2 0.7415 0.7919 0.8851  6 O 2.01-2.18
O36 0.0476 0.1285 0.4345  1 As 1.70
P5 0.6199 0.6518 0.6438  4 O 1.53-1.57
Li3 0.2833 0.5293 0.3239  4 O 2.02-2.07
O37 0.6867 0.5022 0.6796  1 P 1.57
Zr3 0.7592 0.2327 0.1156  6 O 2.08-2.12
O38 0.0509 0.1432 0.8633  1 P 1.54
O39 0.3918 0.9463 0.6637  1 As 1.70
Zr4 0.7444 0.7254 0.3823  6 O 2.04-2.15
Zr5 0.2592 0.7673 0.6156  6 O 2.08-2.12
O40 0.9512 0.3591 0.1393  1 P 1.54
O41 0.6516 0.3269 0.4764  1 As 1.71
O42 0.4228 0.4200 0.9146  1 P 1.54
Zr6 0.2415 0.2081 0.3851  6 O 2.01-2.18
P6 0.8824 0.1520 0.8565  4 O 1.54-1.57
O43 0.8477 0.8254 0.0223  1 As 1.72
Zr7 0.2615 0.6987 0.1143  6 O 2.03-2.16
Zr8 0.7615 0.3013 0.6143  6 O 2.03-2.16
O44 0.1944 0.7359 0.7685  1 As 1.69
O45 0.5830 0.1697 0.6665  1 As 1.72
Li4 0.7019 0.9812 0.6847  4 O 2.02-2.06
O46 0.1694 0.2294 0.2242  1 P 1.56
As6 0.4685 0.9953 0.0140  4 O 1.69-1.72
O47 0.8918 0.0537 0.1637  1 As 1.70
O48 0.6944 0.2641 0.2685  1 As 1.69

- Fermi-level density of states (states/eV/cell) = 0.0
- uncorrected formation energy (eV/atom) = -2.3672
- space group = Pc, No. 7
- theoretical density (g/cm³) = 3.3
- total energy (eV for the cell shown) = -544.833

***

# 3
A plane-wave DFT calculation with GGA-PBE was carried out for La6NdPu after structural relaxation.

Cell lengths 8.8628, 8.0826, 6.3059 Å; angles 74.91, 61.70, 43.39 degrees
Closest atoms and distances in Å follow each position.
Element x y z (fractional)
La1 0.1189 0.1189 0.3811  8 La 3.43-3.79, 2 Nd 3.59, 2 Pu 3.59
Nd1 0.5000 0.5000 0.5000  10 La 3.59-3.83, 2 Pu 3.64
La2 0.7651 0.7651 0.2349  1 Pu 3.39, 10 La 3.57-3.79
Pu1 0.0000 0.0000 0.0000  10 La 3.39-3.59, 2 Nd 3.64
La3 0.6189 0.6189 0.8811  8 La 3.43-3.79, 2 Nd 3.59, 2 Pu 3.59
La4 0.8811 0.8811 0.6189  8 La 3.43-3.79, 2 Nd 3.59, 2 Pu 3.59
La5 0.2349 0.2349 0.7651  1 Pu 3.39, 10 La 3.57-3.79
La6 0.3811 0.3811 0.1189  8 La 3.43-3.79, 2 Nd 3.59, 2 Pu 3.59

- Fermi-level density of states (states/eV/cell) = 21.9
- space group = Fmmm, No. 69
- theoretical density (g/cm³) = 7.5
- total energy (eV for the cell shown) = -45.754

***

# 4
A plane-wave DFT calculation with GGA-PBE was carried out for Tb4Hg5Rh2 after structural relaxation.

Cell lengths 3.6263, 7.7193, 9.5005 Å; angles 94.55, 90.00, 90.00 degrees
Closest atoms and distances in Å follow each position.
Element x y z (fractional)
Rh1 0.0000 0.0787 0.6409  6 Tb 2.75-2.97, 1 Rh 2.85, 2 Hg 2.91
Hg1 0.0000 0.1690 0.1443  1 Rh 2.91, 1 Hg 2.99
Tb1 0.5000 0.2178 0.4383  4 Rh 2.91-2.97
Tb2 0.5000 0.8196 0.1505  2 Rh 2.75
Hg2 0.0000 0.4563 0.6681  1 Rh 2.91, 1 Hg 3.14
Tb3 0.5000 0.7822 0.5617  4 Rh 2.91-2.97
Tb4 0.5000 0.1804 0.8495  2 Rh 2.75
Rh2 0.0000 0.9213 0.3591  6 Tb 2.75-2.97, 1 Rh 2.85, 2 Hg 2.91
Hg3 0.0000 0.5000 0.0000  4 Hg 2.99-3.14, 4 Tb 3.30
Hg4 0.0000 0.5437 0.3319  1 Rh 2.91, 1 Hg 3.14
Hg5 0.0000 0.8310 0.8557  1 Rh 2.91, 1 Hg 2.99

- Fermi-level density of states (states/eV/cell) = 5.6
- space group = P2/m, No. 10
- theoretical density (g/cm³) = 11.6
- total energy (eV for the cell shown) = -41.116